The following is a DFT calculation (PBE) of a relaxed structure of Pm2CdSb3Pt4.

Properties
Space-group type ... P-4m2, No. 115
Raw formation energy ... -0.79 eV per atom

Lattice parameters (Å, degrees): 4.487 4.487 11.139 90.00 90.00 90.00
Sites, in units of the cell vectors:
Pm: 0.000 0.500 0.234
Pm: 0.500 0.000 0.766
Cd: 0.000 0.000 0.500
Sb: 0.000 0.500 0.868
Sb: 0.500 0.000 0.132
Sb: 0.500 0.500 0.500
Pt: 0.000 0.000 0.000
Pt: 0.000 0.500 0.639
Pt: 0.500 0.000 0.361
Pt: 0.500 0.500 0.000


The following is a DFT calculation (PBE) of a relaxed structure of Mn2TeMo.

Properties
Space-group type ... P4/mmm, No. 123
Raw formation energy ... 0.28 eV per atom

Lattice parameters (Å, degrees): 3.424 3.424 5.530 90.00 90.00 90.00
Sites, in units of the cell vectors:
Mn: 0.000 0.000 0.233
Mn: 0.000 0.000 0.767
Te: 0.500 0.500 0.500
Mo: 0.500 0.500 0.000


The following is a DFT calculation (PBE) of a relaxed structure of ZrNiSn.

Properties
E_tot ... -6.433 eV per atom
Space-group type ... I4mm, No. 107

Lattice parameters (Å, degrees): 5.857 5.857 5.857 148.39 148.39 45.31
Sites, in units of the cell vectors:
Zr: 0.000 0.000 0.000
Ni: 0.353 0.353 0.000
Sn: 0.706 0.706 0.000


Q: Which magnetic moment values were calculated for the entries above? A: 0.000, 5.604, 0.000, in μB per formula unit.